No. 1
# Nd6AgOs2I3 (PBE, optimized geometry)
data_Nd6AgOs2I3
_chemical_formula_sum 'Nd6 Ag1 Os2 I3'
_symmetry_space_group_name_H-M 'P 1'
_symmetry_Int_Tables_number 1
_symmetry_space_group_name_Hall 'P 1'
_cell_length_a 7.382
_cell_length_b 7.382
_cell_length_c 8.544
_cell_angle_alpha 98.27
_cell_angle_beta 98.27
_cell_angle_gamma 120.01
loop_
_atom_site_label
_atom_site_type_symbol
_atom_site_fract_x
_atom_site_fract_y
_atom_site_fract_z
_atom_site_occupancy
Nd1 Nd 0.937 0.574 0.811 1
Nd2 Nd 0.700 0.700 0.188 1
Nd3 Nd 0.063 0.426 0.189 1
Nd4 Nd 0.574 0.937 0.811 1
Nd5 Nd 0.300 0.300 0.812 1
Nd6 Nd 0.426 0.063 0.189 1
Ag1 Ag 0.000 0.000 0.000 1
Os1 Os 0.333 0.667 0.000 1
Os2 Os 0.667 0.333 0.000 1
I1 I 0.165 0.835 0.500 1
I2 I 0.835 0.165 0.500 1
I3 I 0.500 0.500 0.500 1
# Raw formation energy (meV per atom): -608

No. 2
# YTh2Fe2 (PBE, optimized geometry)
data_YTh2Fe2
_chemical_formula_sum 'Y2 Th4 Fe4'
_symmetry_space_group_name_H-M 'P 1'
_symmetry_Int_Tables_number 1
_symmetry_space_group_name_Hall 'P 1'
_cell_length_a 6.084
_cell_length_b 6.281
_cell_length_c 7.402
_cell_angle_alpha 77.24
_cell_angle_beta 90.00
_cell_angle_gamma 61.03
loop_
_atom_site_label
_atom_site_type_symbol
_atom_site_fract_x
_atom_site_fract_y
_atom_site_fract_z
_atom_site_occupancy
Y1 Y 0.079 0.000 0.250 1
Y2 Y 0.921 0.000 0.750 1
Th1 Th 0.446 0.322 0.343 1
Th2 Th 0.769 0.678 0.157 1
Th3 Th 0.554 0.678 0.657 1
Th4 Th 0.231 0.322 0.843 1
Fe1 Fe 0.307 0.630 0.033 1
Fe2 Fe 0.937 0.370 0.467 1
Fe3 Fe 0.693 0.370 0.967 1
Fe4 Fe 0.063 0.630 0.533 1
# Uncorrected energy (eV per atom): -7.623

No. 3
# ReSi4Ir (PBE, optimized geometry)
data_ReSi4Ir
_chemical_formula_sum 'Re1 Si4 Ir1'
_symmetry_space_group_name_H-M 'P 1'
_symmetry_Int_Tables_number 1
_symmetry_space_group_name_Hall 'P 1'
_cell_length_a 4.836
_cell_length_b 4.836
_cell_length_c 4.836
_cell_angle_alpha 60.00
_cell_angle_beta 60.00
_cell_angle_gamma 60.00
loop_
_atom_site_label
_atom_site_type_symbol
_atom_site_fract_x
_atom_site_fract_y
_atom_site_fract_z
_atom_site_occupancy
Re1 Re 0.000 0.000 0.000 1
Si1 Si 0.875 0.375 0.375 1
Si2 Si 0.375 0.375 0.875 1
Si3 Si 0.375 0.875 0.375 1
Si4 Si 0.375 0.375 0.375 1
Ir1 Ir 0.750 0.750 0.750 1
# Raw formation energy (meV per atom): 597